No. 1
This record from Alexandria describes a relaxed structure of Dy2UNbN4. The functional is PBE.

Unit cell a=5.735 b=3.380 c=5.865 alpha=90.00 beta=108.98 gamma=90.00
Space group P2/m (No. 10)
Inequivalent atoms, fractional coordinates:
Dy 0.000 0.000 0.000 [1 per cell]
Dy 0.500 0.500 0.000 [1 per cell]
U 0.000 0.500 0.500 [1 per cell]
Nb 0.500 0.000 0.500 [1 per cell]
N 0.245 0.000 0.733 [2 per cell]
N 0.255 0.500 0.272 [2 per cell]

Output
ΔE_f (raw) in eV/atom: -1.457
DOS at the Fermi energy in states/eV/atom: 0.614
VASP energy in eV per cell: -75.5

***

No. 2
This record from Alexandria describes a relaxed structure of Dy2NbVN5. The functional is PBE.

Unit cell a=3.263 b=13.168 c=10.084 alpha=90.00 beta=90.00 gamma=90.00
Space group Cmc2_1 (No. 36)
Inequivalent atoms, fractional coordinates:
Dy 0.000 0.110 0.000 [4 per cell]
Dy 0.000 0.142 0.601 [4 per cell]
Nb 0.000 0.218 0.316 [4 per cell]
V 0.000 0.476 0.766 [4 per cell]
N 0.000 0.046 0.352 [4 per cell]
N 0.000 0.284 0.959 [4 per cell]
N 0.000 0.317 0.681 [4 per cell]
N 0.000 0.370 0.308 [4 per cell]
N 0.000 0.493 0.093 [4 per cell]

Output
ΔE_f (raw) in eV/atom: -1.265
DOS at the Fermi energy in states/eV/atom: 0.297
VASP energy in eV per cell: -325.6

***

No. 3
This record from Alexandria describes a relaxed structure of Dy2YNbN4. The functional is PBE.

Unit cell a=5.835 b=3.359 c=5.836 alpha=90.00 beta=109.13 gamma=90.00
Space group P2/m (No. 10)
Inequivalent atoms, fractional coordinates:
Dy 0.000 0.000 0.000 [1 per cell]
Dy 0.500 0.500 0.000 [1 per cell]
Y 0.000 0.500 0.500 [1 per cell]
Nb 0.500 0.000 0.500 [1 per cell]
N 0.262 0.000 0.739 [2 per cell]
N 0.266 0.500 0.266 [2 per cell]

Output
ΔE_f (raw) in eV/atom: -1.507
DOS at the Fermi energy in states/eV/atom: 0.282
VASP energy in eV per cell: -71.1